[1]
YAlBr2: single point on PBEsol structure, meta-GGA SCAN.

Lattice parameters (Å, degrees): 6.5344 8.3294 3.5003 90.00 90.00 90.00
With the nearest neighbours (Å) after each atom.
Space group Cmmm (No. 65)
One atom of each set of equivalent atoms:
Y  0.0000  0.0000  0.0000 x2  8 Br 3.17, 2 Al 3.27, 2 Y 3.50
Al  0.0000  0.5000  0.0000 x2  8 Br 3.17, 2 Y 3.27, 2 Al 3.50
Br  0.2500  0.2500  0.5000 x4  4 Al 3.17, 4 Y 3.17, 4 Br 3.27-3.50

Output
Uncorrected formation energy in meV per atom: -507.3
ΔE to the lowest computed polymorph in eV/atom: 0.105
Calculated density in g/cm3: 4.81

=====

[2]
YAl2Br: single point on PBEsol structure, meta-GGA SCAN.

Lattice parameters (Å, degrees): 11.5740 3.4392 4.5014 90.00 100.24 90.00
With the nearest neighbours (Å) after each atom.
Space group C2/m (No. 12)
One atom of each set of equivalent atoms:
Y  0.0000  0.0000  0.0000 x2  4 Br 2.83
Al  0.2392  0.5000  0.2354 x4  4 Al 2.77-2.91
Br  0.0000  0.5000  0.5000 x2  4 Y 2.83

Output
Uncorrected formation energy in meV per atom: -326.8
ΔE to the lowest computed polymorph in eV/atom: 0.000
Calculated density in g/cm3: 4.20

=====

[3]
YAlBr2: single point on PBEsol structure, meta-GGA SCAN.

Lattice parameters (Å, degrees): 4.1065 4.1065 11.2181 90.00 90.00 90.00
With the nearest neighbours (Å) after each atom.
Space group I-4m2 (No. 119)
One atom of each set of equivalent atoms:
Y  0.0000  0.0000  0.0000 x2  4 Br 2.90
Al  0.0000  0.5000  0.2500 x2  4 Br 2.90
Br  0.0000  0.0000  0.5000 x2  4 Y 2.90
Br  0.0000  0.5000  0.7500 x2  4 Al 2.90

Output
Uncorrected formation energy in meV per atom: -612.8
ΔE to the lowest computed polymorph in eV/atom: 0.000
Calculated density in g/cm3: 4.84

=====

[4]
Y2AlBr: single point on PBEsol structure, meta-GGA SCAN.

Lattice parameters (Å, degrees): 3.6172 4.6818 5.8174 90.00 90.00 90.00
With the nearest neighbours (Å) after each atom.
Space group Pmmm (No. 47)
One atom of each set of equivalent atoms:
Y  0.0000  0.0000  0.0000 x1  2 Al 2.91, 4 Br 2.96
Y  0.5000  0.5000  0.5000 x1  2 Br 2.91, 4 Al 2.96
Al  0.0000  0.0000  0.5000 x1  6 Y 2.91-2.96
Br  0.5000  0.5000  0.0000 x1  6 Y 2.91-2.96

Output
Uncorrected formation energy in meV per atom: -790.7
Calculated density in g/cm3: 4.80

=====

[5]
YAlBr2: single point on PBEsol structure, meta-GGA SCAN.

Lattice parameters (Å, degrees): 7.1809 7.1809 7.1809 90.00 90.00 90.00
With the nearest neighbours (Å) after each atom.
Space group Fm-3m (No. 225)
One atom of each set of equivalent atoms:
Y  0.0000  0.0000  0.0000 x4  8 Br 3.11
Al  0.0000  0.0000  0.5000 x4  8 Br 3.11
Br  0.2500  0.2500  0.2500 x8  4 Al 3.11, 4 Y 3.11

Output
Uncorrected formation energy in meV per atom: -549.6
ΔE to the lowest computed polymorph in eV/atom: 0.063
Calculated density in g/cm3: 4.95

=====

[6]
YAlBr2: single point on PBEsol structure, meta-GGA SCAN.

Lattice parameters (Å, degrees): 7.0494 7.0494 11.7852 90.00 90.00 90.00
With the nearest neighbours (Å) after each atom.
Space group I-42d (No. 122)
One atom of each set of equivalent atoms:
Y  0.0000  0.0000  0.0000 x4  4 Br 2.73
Al  0.0000  0.0000  0.5000 x4  4 Br 3.08
Br  0.2081  0.2500  0.1250 x8  2 Y 2.73

Output
Uncorrected formation energy in meV per atom: -287.6
ΔE to the lowest computed polymorph in eV/atom: 0.325
Calculated density in g/cm3: 3.13

=====

[7]
AlZnBr2: single point on PBEsol structure, meta-GGA SCAN.

Lattice parameters (Å, degrees): 7.1522 7.1522 7.1522 90.00 90.00 90.00
With the nearest neighbours (Å) after each atom.
Space group F-43m (No. 216)
One atom of each set of equivalent atoms:
Al  0.0000  0.0000  0.0000 x4  4 Br 3.10, 4 Zn 3.10
Zn  0.2500  0.2500  0.7500 x4  4 Br 3.10, 4 Al 3.10
Br  0.0000  0.0000  0.5000 x4  4 Br 3.10, 4 Zn 3.10
Br  0.2500  0.2500  0.2500 x4  4 Br 3.10, 4 Al 3.10

Output
Uncorrected formation energy in meV per atom: 295.0
ΔE to the lowest computed polymorph in eV/atom: 0.229
Calculated density in g/cm3: 4.58

=====

[8]
AlZnBr2: single point on PBEsol structure, meta-GGA SCAN.

Lattice parameters (Å, degrees): 3.5862 3.5862 6.9983 90.00 90.00 90.00
With the nearest neighbours (Å) after each atom.
Space group P4/mmm (No. 123)
One atom of each set of equivalent atoms:
Al  0.0000  0.0000  0.0000 x1  8 Br 3.10
Zn  0.0000  0.0000  0.5000 x1  8 Br 3.06
Br  0.5000  0.5000  0.2560 x2  4 Zn 3.06, 4 Al 3.10, 1 Br 3.42

Output
Uncorrected formation energy in meV per atom: 65.7
ΔE to the lowest computed polymorph in eV/atom: 0.000
Calculated density in g/cm3: 4.65

=====

[9]
Al3ZnBr: single point on PBEsol structure, meta-GGA SCAN.

Lattice parameters (Å, degrees): 4.8278 4.8278 4.8278 90.00 90.00 90.00
With the nearest neighbours (Å) after each atom.
Space group Pm-3m (No. 221)
One atom of each set of equivalent atoms:
Al  0.0000  0.0000  0.5000 x3  2 Zn 2.41
Zn  0.0000  0.0000  0.0000 x1  6 Al 2.41
Br  0.5000  0.5000  0.5000 x1  12 Al 3.41

Output
Uncorrected formation energy in meV per atom: 341.1
Calculated density in g/cm3: 3.34

=====

[10]
ZrAl2Br: single point on PBEsol structure, meta-GGA SCAN.

Lattice parameters (Å, degrees): 4.9894 4.9894 3.2108 90.00 90.00 90.00
With the nearest neighbours (Å) after each atom.
Space group P4/mmm (No. 123)
One atom of each set of equivalent atoms:
Zr  0.0000  0.0000  0.0000 x1  8 Al 2.97, 2 Zr 3.21
Al  0.0000  0.5000  0.5000 x2  4 Zr 2.97, 4 Br 2.97, 2 Al 3.21
Br  0.5000  0.5000  0.0000 x1  8 Al 2.97, 2 Br 3.21

Output
Uncorrected formation energy in meV per atom: -8.2
ΔE to the lowest computed polymorph in eV/atom: 0.126
Calculated density in g/cm3: 4.68

=====

[11]
ZrAl2Br: single point on PBEsol structure, meta-GGA SCAN.

Lattice parameters (Å, degrees): 3.2481 3.2481 26.2039 90.00 90.00 120.00
With the nearest neighbours (Å) after each atom.
Space group R-3m (No. 166, hexagonal axes)
One atom of each set of equivalent atoms:
Zr  0.0000  0.0000  0.0000 x3  6 Al 2.90
Al  0.0000  0.0000  0.2491 x6  3 Br 2.86, 3 Zr 2.90
Br  0.0000  0.0000  0.5000 x3  6 Al 2.86

Output
Uncorrected formation energy in meV per atom: -134.6
ΔE to the lowest computed polymorph in eV/atom: 0.000
Calculated density in g/cm3: 4.68

=====

[12]
ZrAl2Br: single point on PBEsol structure, meta-GGA SCAN.

Lattice parameters (Å, degrees): 3.2988 4.5622 10.0951 90.00 90.00 90.00
With the nearest neighbours (Å) after each atom.
Space group Immm (No. 71)
One atom of each set of equivalent atoms:
Zr  0.0000  0.0000  0.0000 x2  4 Br 2.81, 4 Al 2.95
Al  0.0000  0.5000  0.2574 x4  4 Al 2.82, 2 Zr 2.95, 2 Br 3.08
Br  0.0000  0.0000  0.5000 x2  4 Zr 2.81, 4 Al 3.08

Output
Uncorrected formation energy in meV per atom: -70.3
ΔE to the lowest computed polymorph in eV/atom: 0.064
Calculated density in g/cm3: 4.92

=====

Calculated E_tot in order - -19.136, -16.028, -19.241, -21.515, -19.178, -18.916, -14.751, -14.981, -10.905, -16.424, -16.550, -16.486 eV/atom